Here is LiPaGaAg after structural relaxation from Alexandria via LeMat-Bulk. Energies are from PBE.

It has space group F-43m (No. 216), with a = 6.893 Å, b = 6.893 Å, c = 6.893 Å, α = 90.00°, β = 90.00° and γ = 90.00°. The inequivalent atoms are Li at (0.000, 0.000, 0.000), Pa at (0.000, 0.000, 0.500), Ga at (0.250, 0.250, 0.750) and Ag at (0.250, 0.250, 0.250).

The calculation puts the calculated formation energy at 0.0003 eV/atom. The calculated volume comes out at 20.47 Å³/atom. For the density of states at the Fermi level, the calculation gives 17.9 states/eV/cell.

Here is TcNi2Ag after structural relaxation from Alexandria via LeMat-Bulk. Energies are from PBE.

It has space group R-3m (No. 166, hexagonal axes), with a = 2.6928 Å, b = 2.6928 Å, c = 26.0816 Å, α = 90.00°, β = 90.00° and γ = 120.00°. The inequivalent atoms are Tc at (0.0000, 0.0000, 0.0000), Ni at (0.0000, 0.0000, 0.2548) and Ag at (0.0000, 0.0000, 0.5000).

The calculation puts the calculated formation energy at 0.2001 eV/atom. The calculated volume comes out at 13.65 Å³/atom. For the relative energy among the computed polymorphs, the calculation gives 91 meV per atom. For the density of states at the Fermi level, the calculation gives 14.1 states/eV/cell.